(1)
## Ba2IrPb (meta-GGA SCAN)

Data for a PBEsol-optimized structure of Ba2IrPb.

The structure in POSCAR format:
```
Ba2IrPb
1.0
2.107 1.216 9.317
-2.107 1.216 9.317
0.000 -2.432 9.317
Ba Ir Pb
2 1 1
Direct
0.230 0.230 0.230
0.770 0.770 0.770
0.500 0.500 0.500
0.000 0.000 0.000
```

Computed properties:
* space group: R-3m
* total magnetization: 0.00 μB per cell



(2)
## Tb4InIr (meta-GGA SCAN)

Data for a PBEsol-optimized structure of Tb4InIr.

The structure in POSCAR format:
```
Tb4InIr
1.0
0.000 6.745 6.745
6.745 0.000 6.745
6.745 6.745 0.000
Tb In Ir
16 4 4
Direct
0.059 0.059 0.441
0.059 0.441 0.059
0.059 0.441 0.441
0.190 0.190 0.810
0.190 0.810 0.190
0.190 0.810 0.810
0.202 0.599 0.599
0.441 0.059 0.059
0.441 0.059 0.441
0.441 0.441 0.059
0.599 0.202 0.599
0.599 0.599 0.202
0.599 0.599 0.599
0.810 0.190 0.190
0.810 0.190 0.810
0.810 0.810 0.190
0.503 0.832 0.832
0.832 0.503 0.832
0.832 0.832 0.503
0.832 0.832 0.832
0.392 0.392 0.392
0.392 0.392 0.825
0.392 0.825 0.392
0.825 0.392 0.392
```

Computed properties:
* space group: F-43m
* total magnetization: 0.00 μB per cell



Formation energy across the listed records, respectively: -0.0264 -0.7231 eV/atom.